VASP calculation (PBE) on a relaxed Sr3Ga4Sn crystal.

Geometry as CIF:
```
data_Sr3Ga4Sn
_cell_length_a 5.1142
_cell_length_b 5.4895
_cell_length_c 17.9181
_cell_angle_alpha 90.00
_cell_angle_beta 90.00
_cell_angle_gamma 90.00
_symmetry_space_group_name_H-M 'I m m m'
_symmetry_Int_Tables_number 71
_symmetry_space_group_name_Hall '-I 2 2'
loop_
_atom_site_label
_atom_site_type_symbol
_atom_site_fract_x
_atom_site_fract_y
_atom_site_fract_z
Sr1 Sr 0.0000 0.0000 0.0000
Sr2 Sr 0.0000 0.5000 0.2025
Ga1 Ga 0.0000 0.2713 0.3711
Sn1 Sn 0.0000 0.0000 0.5000
```

Values from the calculation:
- ΔE_f (kJ/mol of atoms) = -29